A:
A relaxed Ba2VBiAu crystal. Source: Alexandria via LeMat-Bulk, functional PBE-GGA.

D(E_F)   5.7 states/eV/f.u.
Space-group type   P4/mmm (123)

```
Ba2VBiAu
1.0
6.7588 0.0000 0.0000
0.0000 6.7588 0.0000
0.0000 0.0000 5.3344
Ba V Bi Au
2 1 1 1
direct
0.0000 0.5000 0.0000
0.5000 0.0000 0.0000
0.0000 0.0000 0.5000
0.5000 0.5000 0.0000
0.5000 0.5000 0.5000
```

---

B:
A relaxed Ba2VBiAu crystal. Source: Alexandria via LeMat-Bulk, functional PBE-GGA.

D(E_F)   3.5 states/eV/f.u.
Space-group type   P4/mmm (123)

```
Ba2VBiAu
1.0
6.7234 0.0000 0.0000
0.0000 6.7234 0.0000
0.0000 0.0000 5.2029
Ba V Bi Au
2 1 1 1
direct
0.0000 0.5000 0.0000
0.5000 0.0000 0.0000
0.0000 0.0000 0.5000
0.0000 0.0000 0.0000
0.5000 0.5000 0.5000
```

---

Most stable to least stable: B, A

---

A:
A relaxed Ba2AuBr crystal. Source: Alexandria via LeMat-Bulk, functional PBE-GGA.

D(E_F)   3.6 states/eV/f.u.
Space-group type   I-4m2 (119)

```
Ba2AuBr
1.0
-2.3336 2.3336 7.0925
2.3336 -2.3336 7.0925
2.3336 2.3336 -7.0925
Ba Au Br
2 1 1
direct
0.0000 0.0000 0.0000
0.7500 0.2500 0.5000
0.5000 0.5000 0.0000
0.2500 0.7500 0.5000
```

---

B:
A relaxed Ba2AuBr crystal. Source: Alexandria via LeMat-Bulk, functional PBE-GGA.

D(E_F)   6.8 states/eV/f.u.
Space-group type   Fm-3m (225)

```
Ba2AuBr
1.0
0.0000 4.1287 4.1287
4.1287 0.0000 4.1287
4.1287 4.1287 0.0000
Ba Au Br
2 1 1
direct
0.2500 0.2500 0.2500
0.7500 0.7500 0.7500
0.0000 0.0000 0.0000
0.5000 0.5000 0.5000
```

---

C:
A relaxed Ba2AuBr crystal. Source: Alexandria via LeMat-Bulk, functional PBE-GGA.

D(E_F)   3.3 states/eV/f.u.
Space-group type   Pmmm (47)

```
Ba2AuBr
1.0
3.9944 0.0000 0.0000
0.0000 5.6404 0.0000
0.0000 0.0000 6.0857
Ba Au Br
2 1 1
direct
0.0000 0.0000 0.0000
0.0000 0.5000 0.5000
0.5000 0.0000 0.5000
0.5000 0.5000 0.0000
```

---

D:
A relaxed Ba2AuBr crystal. Source: Alexandria via LeMat-Bulk, functional PBE-GGA.

D(E_F)   1.0 states/eV/f.u.
Space-group type   R3m (160)

```
Ba2AuBr
1.0
2.3378 1.3497 8.5960
-2.3378 1.3497 8.5960
0.0000 -2.6994 8.5960
Ba Au Br
2 1 1
direct
0.0000 0.0000 0.0000
0.1888 0.1888 0.1888
0.5936 0.5936 0.5936
0.7639 0.7639 0.7639
```

---

Most stable to least stable: D, C, B, A

---

A:
A relaxed BaAu2Br crystal. Source: Alexandria via LeMat-Bulk, functional PBE-GGA.

D(E_F)   0.9 states/eV/f.u.
Space-group type   I-42d (122)

```
BaAu2Br
1.0
-4.7167 4.7167 2.9451
4.7167 -4.7167 2.9451
4.7167 4.7167 -2.9451
Ba Au Br
2 4 2
direct
0.0000 0.0000 0.0000
0.7500 0.2500 0.5000
0.1305 0.6250 0.0055
0.3750 0.3805 0.5055
0.6195 0.1250 0.9945
0.8750 0.8695 0.4945
0.2500 0.7500 0.5000
0.5000 0.5000 0.0000
```

---

B:
A relaxed BaAu2Br crystal. Source: Alexandria via LeMat-Bulk, functional PBE-GGA.

D(E_F)   5.5 states/eV/f.u.
Space-group type   Fm-3m (225)

```
BaAu2Br
1.0
0.0000 3.8725 3.8725
3.8725 0.0000 3.8725
3.8725 3.8725 0.0000
Ba Au Br
1 2 1
direct
0.0000 0.0000 0.0000
0.2500 0.2500 0.2500
0.7500 0.7500 0.7500
0.5000 0.5000 0.5000
```

---

C:
A relaxed BaAu2Br crystal. Source: Alexandria via LeMat-Bulk, functional PBE-GGA.

D(E_F)   1.1 states/eV/f.u.
Space-group type   Pmmm (47)

```
BaAu2Br
1.0
4.6444 0.0000 0.0000
0.0000 4.6549 0.0000
0.0000 0.0000 5.9126
Ba Au Br
1 2 1
direct
0.0000 0.0000 0.0000
0.5000 0.5000 0.2441
0.5000 0.5000 0.7559
0.0000 0.0000 0.5000
```

---

Most stable to least stable: A, C, B

---

A:
A relaxed BaAu2Br crystal. Source: Alexandria via LeMat-Bulk, functional PBE-GGA.

D(E_F)   1.3 states/eV/f.u.
Space-group type   P4mm (99)

```
BaAu2Br
1.0
3.9847 0.0000 0.0000
0.0000 3.9847 0.0000
0.0000 0.0000 7.8964
Ba Au Br
1 2 1
direct
0.0000 0.0000 0.0000
0.0000 0.0000 0.6238
0.5000 0.5000 0.6666
0.5000 0.5000 0.2010
```

---

B:
A relaxed BaAu2Br crystal. Source: Alexandria via LeMat-Bulk, functional PBE-GGA.

D(E_F)   0.8 states/eV/f.u.
Space-group type   P4/mmm (123)

```
BaAu2Br
1.0
4.3824 0.0000 0.0000
0.0000 4.3824 0.0000
0.0000 0.0000 5.9644
Ba Au Br
1 2 1
direct
0.0000 0.0000 0.0000
0.0000 0.5000 0.5000
0.5000 0.0000 0.5000
0.5000 0.5000 0.0000
```

---

Most stable to least stable: A, B

---

A:
A relaxed BaAu2Br crystal. Source: Alexandria via LeMat-Bulk, functional PBE-GGA.

D(E_F)   1.3 states/eV/f.u.
Space-group type   C2/m (12)

```
BaAu2Br
1.0
6.3350 -2.1606 0.0000
6.3350 2.1606 0.0000
-1.5538 0.0000 4.1731
Ba Au Br
1 2 1
direct
0.0000 0.0000 0.0000
0.2503 0.2503 0.7505
0.7497 0.7497 0.2495
0.5000 0.5000 0.5000
```

---

B:
A relaxed BaAu2Br crystal. Source: Alexandria via LeMat-Bulk, functional PBE-GGA.

D(E_F)   0.4 states/eV/f.u.
Space-group type   Pm (6)

```
BaAu2Br
1.0
4.2640 0.0000 0.0000
0.0000 5.0985 0.0000
-2.0992 0.0000 6.3154
Ba Au Br
1 2 1
direct
0.0000 0.0000 0.0000
0.3035 0.0000 0.6026
0.3310 0.5000 0.6661
0.5894 0.5000 0.1791
```

---

C:
A relaxed BaAu2Br crystal. Source: Alexandria via LeMat-Bulk, functional PBE-GGA.

D(E_F)   0.6 states/eV/f.u.
Space-group type   R3m (160)

```
BaAu2Br
1.0
2.3791 1.3736 7.1402
-2.3791 1.3736 7.1402
0.0000 -2.7471 7.1402
Ba Au Br
1 2 1
direct
0.0000 0.0000 0.0000
0.2340 0.2340 0.2340
0.5656 0.5656 0.5656
0.7478 0.7478 0.7478
```

---

D:
A relaxed BaAu2Br crystal. Source: Alexandria via LeMat-Bulk, functional PBE-GGA.

D(E_F)   4.2 states/eV/f.u.
Space-group type   F-43m (216)

```
BaAu2Br
1.0
0.0000 3.8330 3.8330
3.8330 0.0000 3.8330
3.8330 3.8330 0.0000
Ba Au Br
1 2 1
direct
0.0000 0.0000 0.0000
0.2500 0.2500 0.2500
0.5000 0.5000 0.5000
0.7500 0.7500 0.7500
```

---

Most stable to least stable: C, B, A, D

---

A:
A relaxed Ba2Au2Br crystal. Source: Alexandria via LeMat-Bulk, functional PBE-GGA.

D(E_F)   3.2 states/eV/f.u.
Space-group type   I4/mmm (139)

```
Ba2Au2Br
1.0
-3.0152 3.0152 5.2717
3.0152 -3.0152 5.2717
3.0152 3.0152 -5.2717
Ba Au Br
2 2 1
direct
0.2500 0.7500 0.5000
0.7500 0.2500 0.5000
0.1295 0.1295 0.0000
0.8705 0.8705 0.0000
0.5000 0.5000 0.0000
```

---

B:
A relaxed Ba2Au2Br crystal. Source: Alexandria via LeMat-Bulk, functional PBE-GGA.

D(E_F)   2.8 states/eV/f.u.
Space-group type   P4/mbm (127)

```
Ba2Au2Br
1.0
9.0511 0.0000 0.0000
0.0000 9.0511 0.0000
0.0000 0.0000 4.3810
Ba Au Br
4 4 2
direct
0.1826 0.3174 0.0000
0.3174 0.8174 0.0000
0.6826 0.1826 0.0000
0.8174 0.6826 0.0000
0.1114 0.6114 0.5000
0.3886 0.1114 0.5000
0.6114 0.8886 0.5000
0.8886 0.3886 0.5000
0.0000 0.0000 0.0000
0.5000 0.5000 0.0000
```

---

C:
A relaxed Ba2Au2Br crystal. Source: Alexandria via LeMat-Bulk, functional PBE-GGA.

D(E_F)   2.9 states/eV/f.u.
Space-group type   C2/m (12)

```
Ba2Au2Br
1.0
4.1910 -2.4236 0.0000
4.1910 2.4236 0.0000
-2.7904 0.0000 8.7451
Ba Au Br
2 2 1
direct
0.0786 0.0786 0.2349
0.9214 0.9214 0.7651
0.3314 0.3314 0.9946
0.6686 0.6686 0.0054
0.5000 0.5000 0.5000
```

---

Most stable to least stable: C, B, A

---

A:
A relaxed BaAu3Br crystal. Source: Alexandria via LeMat-Bulk, functional PBE-GGA.

D(E_F)   11.4 states/eV/f.u.
Space-group type   Pm-3m (221)

```
BaAu3Br
1.0
6.1047 0.0000 0.0000
0.0000 6.1047 0.0000
0.0000 0.0000 6.1047
Ba Au Br
1 3 1
direct
0.0000 0.0000 0.0000
0.0000 0.0000 0.5000
0.0000 0.5000 0.0000
0.5000 0.0000 0.0000
0.5000 0.5000 0.5000
```

---

B:
A relaxed BaAu3Br crystal. Source: Alexandria via LeMat-Bulk, functional PBE-GGA.

D(E_F)   2.0 states/eV/f.u.
Space-group type   Pm-3m (221)

```
BaAu3Br
1.0
5.3689 0.0000 0.0000
0.0000 5.3689 0.0000
0.0000 0.0000 5.3689
Ba Au Br
1 3 1
direct
0.0000 0.0000 0.0000
0.0000 0.5000 0.5000
0.5000 0.0000 0.5000
0.5000 0.5000 0.0000
0.5000 0.5000 0.5000
```

---

Most stable to least stable: B, A

---

A:
A relaxed Ba3AuBr crystal. Source: Alexandria via LeMat-Bulk, functional PBE-GGA.

D(E_F)   3.2 states/eV/f.u.
Space-group type   Cmcm (63)

```
Ba3AuBr
1.0
2.3226 -7.7485 0.0000
2.3226 7.7485 0.0000
0.0000 0.0000 12.6398
Ba Au Br
6 2 2
direct
0.0832 0.9168 0.7500
0.3668 0.6332 0.5721
0.3668 0.6332 0.9279
0.6332 0.3668 0.0721
0.6332 0.3668 0.4279
0.9168 0.0832 0.2500
0.0000 0.0000 0.0000
0.0000 0.0000 0.5000
0.2390 0.7610 0.2500
0.7610 0.2390 0.7500
```

---

B:
A relaxed Ba3AuBr crystal. Source: Alexandria via LeMat-Bulk, functional PBE-GGA.

D(E_F)   6.7 states/eV/f.u.
Space-group type   Pm-3m (221)

```
Ba3AuBr
1.0
6.4294 0.0000 0.0000
0.0000 6.4294 0.0000
0.0000 0.0000 6.4294
Ba Au Br
3 1 1
direct
0.0000 0.0000 0.5000
0.0000 0.5000 0.0000
0.5000 0.0000 0.0000
0.0000 0.0000 0.0000
0.5000 0.5000 0.5000
```

---

Most stable to least stable: A, B

---

A:
A relaxed BaAuSe2Br crystal. Source: Alexandria via LeMat-Bulk, functional PBE-GGA.

D(E_F)   2.5 states/eV/f.u.
Space-group type   P4/mmm (123)

```
BaAuSe2Br
1.0
5.2299 0.0000 0.0000
0.0000 5.2299 0.0000
0.0000 0.0000 5.3489
Ba Au Se Br
1 1 2 1
direct
0.0000 0.0000 0.0000
0.5000 0.5000 0.5000
0.0000 0.5000 0.5000
0.5000 0.0000 0.5000
0.5000 0.5000 0.0000
```

---

B:
A relaxed BaAuSe2Br crystal. Source: Alexandria via LeMat-Bulk, functional PBE-GGA.

D(E_F)   5.4 states/eV/f.u.
Space-group type   P4/mmm (123)

```
BaAuSe2Br
1.0
6.4534 0.0000 0.0000
0.0000 6.4534 0.0000
0.0000 0.0000 6.1537
Ba Au Se Br
1 1 2 1
direct
0.0000 0.0000 0.0000
0.5000 0.5000 0.5000
0.0000 0.5000 0.0000
0.5000 0.0000 0.0000
0.0000 0.0000 0.5000
```

---

Most stable to least stable: A, B

---

A:
A relaxed BaAuSeBr2 crystal. Source: Alexandria via LeMat-Bulk, functional PBE-GGA.

D(E_F)   1.0 states/eV/f.u.
Space-group type   P4/mmm (123)

```
BaAuSeBr2
1.0
5.3257 0.0000 0.0000
0.0000 5.3257 0.0000
0.0000 0.0000 5.3734
Ba Au Se Br
1 1 1 2
direct
0.0000 0.0000 0.0000
0.5000 0.5000 0.5000
0.5000 0.5000 0.0000
0.0000 0.5000 0.5000
0.5000 0.0000 0.5000
```

---

B:
A relaxed BaAuSeBr2 crystal. Source: Alexandria via LeMat-Bulk, functional PBE-GGA.

D(E_F)   4.6 states/eV/f.u.
Space-group type   P4/mmm (123)

```
BaAuSeBr2
1.0
6.2197 0.0000 0.0000
0.0000 6.2197 0.0000
0.0000 0.0000 6.6686
Ba Au Se Br
1 1 1 2
direct
0.0000 0.0000 0.0000
0.5000 0.5000 0.5000
0.0000 0.0000 0.5000
0.0000 0.5000 0.0000
0.5000 0.0000 0.0000
```

---

Most stable to least stable: A, B

---

A:
A relaxed BaAuC2 crystal. Source: Alexandria via LeMat-Bulk, functional PBE-GGA.

D(E_F)   3.5 states/eV/f.u.
Space-group type   I-42d (122)

```
BaAuC2
1.0
-2.3226 2.3226 7.1707
2.3226 -2.3226 7.1707
2.3226 2.3226 -7.1707
Ba Au C
2 2 4
direct
0.0000 0.0000 0.0000
0.7500 0.2500 0.5000
0.2500 0.7500 0.5000
0.5000 0.5000 0.0000
0.3739 0.6250 0.2489
0.3750 0.6239 0.7489
0.3761 0.1250 0.7511
0.8750 0.6261 0.2511
```

---

B:
A relaxed BaAuC2 crystal. Source: Alexandria via LeMat-Bulk, functional PBE-GGA.

D(E_F)   2.8 states/eV/f.u.
Space-group type   Fm-3m (225)

```
BaAuC2
1.0
0.0000 3.2706 3.2706
3.2706 0.0000 3.2706
3.2706 3.2706 0.0000
Ba Au C
1 1 2
direct
0.0000 0.0000 0.0000
0.5000 0.5000 0.5000
0.2500 0.2500 0.2500
0.7500 0.7500 0.7500
```

---

Most stable to least stable: A, B